A plane-wave DFT calculation with PBE with a Hubbard U was carried out for crystalline MnS2F at its relaxed geometry.

Computed properties:
Calculated volume = 18.24 Å³ per atom
M_tot = 0.929 μB per atom
Final energy = -4.827 eV/atom

abc: 6.938 6.938 6.938
angles: 29.78 29.78 29.78
Fractional positions:
Mn 0.000 0.000 0.000
S 0.397 0.397 0.397
S 0.603 0.603 0.603
F 0.500 0.500 0.500